No. 1
VASP calculation (GGA-PBE) on crystalline Zr2NiPb at its relaxed geometry.

Lattice parameters (Å, degrees): 4.2862 4.2862 4.3394 90.00 90.00 90.00
With the nearest neighbours (Å) after each atom.
Sites, in units of the cell vectors:
Zr 0.5000 0.5000 0.0000  4 Zr 3.03, 4 Pb 3.05, 4 Ni 3.05
Zr 0.0000 0.0000 0.0000  4 Zr 3.03, 4 Ni 3.05, 4 Pb 3.05
Pb 0.0000 0.5000 0.5000  4 Ni 3.03, 8 Zr 3.05
Ni 0.5000 0.0000 0.5000  4 Pb 3.03, 8 Zr 3.05

Output
Formation enthalpy at 0 K = -122 meV/atom



No. 2
VASP calculation (GGA-PBE) on crystalline RbAsO3 at its relaxed geometry.

Lattice parameters (Å, degrees): 5.7159 6.0097 5.5808 90.00 90.67 90.00
With the nearest neighbours (Å) after each atom.
Sites, in units of the cell vectors:
Rb 0.4509 0.7500 0.2466  6 O 2.91-3.10
Rb 0.5491 0.2500 0.7534  6 O 2.91-3.10
As 0.0282 0.2500 0.2511  3 O 1.67
As 0.9718 0.7500 0.7489  3 O 1.67
O 0.8790 0.0112 0.2480  1 As 1.67
O 0.3209 0.2500 0.2546  1 As 1.67
O 0.8790 0.4888 0.2480  1 As 1.67
O 0.1210 0.5112 0.7520  1 As 1.67
O 0.1210 0.9888 0.7520  1 As 1.67
O 0.6791 0.7500 0.7454  1 As 1.67

Output
Formation energy without anion corrections = -1.287 eV per atom



Question: Number 1 is which compound?
Answer: Zr2NiPb



Repeat the second record exactly.
VASP calculation (GGA-PBE) on crystalline RbAsO3 at its relaxed geometry.

Lattice parameters (Å, degrees): 5.7159 6.0097 5.5808 90.00 90.67 90.00
With the nearest neighbours (Å) after each atom.
Sites, in units of the cell vectors:
Rb 0.4509 0.7500 0.2466  6 O 2.91-3.10
Rb 0.5491 0.2500 0.7534  6 O 2.91-3.10
As 0.0282 0.2500 0.2511  3 O 1.67
As 0.9718 0.7500 0.7489  3 O 1.67
O 0.8790 0.0112 0.2480  1 As 1.67
O 0.3209 0.2500 0.2546  1 As 1.67
O 0.8790 0.4888 0.2480  1 As 1.67
O 0.1210 0.5112 0.7520  1 As 1.67
O 0.1210 0.9888 0.7520  1 As 1.67
O 0.6791 0.7500 0.7454  1 As 1.67

Output
Formation energy without anion corrections = -1.287 eV per atom